#w
# GaPdC2Cl (PBE, relaxed)
# Density of states at the Fermi level = 0.521 states/eV/atom
data_GaPdC2Cl
_cell_length_a 3.899
_cell_length_b 3.899
_cell_length_c 8.591
_cell_angle_alpha 90.00
_cell_angle_beta 90.00
_cell_angle_gamma 90.00
_symmetry_space_group_name_H-M 'P 4/m m m'
_symmetry_Int_Tables_number 123
_symmetry_space_group_name_Hall '-P 4 2'
loop_
_atom_site_label
_atom_site_fract_x
_atom_site_fract_y
_atom_site_fract_z
Ga1 0.000 0.000 0.000
Pd1 0.500 0.500 0.500
C1 0.000 0.500 0.500
Cl1 0.500 0.500 0.000

#x
# GaPdC2Cl (PBE, relaxed)
# Density of states at the Fermi level = 0.664 states/eV/atom
data_GaPdC2Cl
_cell_length_a 3.917
_cell_length_b 3.917
_cell_length_c 6.214
_cell_angle_alpha 90.00
_cell_angle_beta 90.00
_cell_angle_gamma 90.00
_symmetry_space_group_name_H-M 'P 4/m m m'
_symmetry_Int_Tables_number 123
_symmetry_space_group_name_Hall '-P 4 2'
loop_
_atom_site_label
_atom_site_fract_x
_atom_site_fract_y
_atom_site_fract_z
Ga1 0.000 0.000 0.000
Pd1 0.000 0.000 0.500
C1 0.000 0.500 0.500
Cl1 0.500 0.500 0.000

According to the calculations, the structures order from most to least stable as #x, #w.

#w
# GaCSCl2 (PBE, relaxed)
# Density of states at the Fermi level = 0.721 states/eV/atom
data_GaCSCl2
_cell_length_a 4.720
_cell_length_b 4.720
_cell_length_c 4.926
_cell_angle_alpha 90.00
_cell_angle_beta 90.00
_cell_angle_gamma 90.00
_symmetry_space_group_name_H-M 'P 4/m m m'
_symmetry_Int_Tables_number 123
_symmetry_space_group_name_Hall '-P 4 2'
loop_
_atom_site_label
_atom_site_fract_x
_atom_site_fract_y
_atom_site_fract_z
Ga1 0.000 0.000 0.000
C1 0.500 0.500 0.500
S1 0.000 0.000 0.500
Cl1 0.000 0.500 0.000

#x
# GaCSCl2 (PBE, relaxed)
# Density of states at the Fermi level = 0.921 states/eV/atom
data_GaCSCl2
_cell_length_a 5.369
_cell_length_b 5.369
_cell_length_c 3.596
_cell_angle_alpha 90.00
_cell_angle_beta 90.00
_cell_angle_gamma 90.00
_symmetry_space_group_name_H-M 'P 4/m m m'
_symmetry_Int_Tables_number 123
_symmetry_space_group_name_Hall '-P 4 2'
loop_
_atom_site_label
_atom_site_fract_x
_atom_site_fract_y
_atom_site_fract_z
Ga1 0.000 0.000 0.000
C1 0.500 0.500 0.500
S1 0.500 0.500 0.000
Cl1 0.000 0.500 0.500

According to the calculations, the structures order from most to least stable as #x, #w.